(1)
VASP calculation (PBE) on a geometry-optimized HfTcSn structure.

Computed properties:
Total moment = 0.00 μB per formula unit
Space-group type = Cmcm, No. 63
E_form = -266 meV/atom
Distance to the lowest polymorph of the same formula = 0.000 eV per atom

a b c (Å): 3.2908 6.1031 6.2041
angles (deg): 90.00 90.00 105.64
Closest atoms and distances in Å follow each position.
Element x y z (fractional)
Hf  0.6374  0.2747  0.2500  4 Tc 2.78, 4 Sn 3.09-3.10
Hf  0.3626  0.7253  0.7500  4 Tc 2.78, 4 Sn 3.09-3.10
Tc  0.0000  0.0000  0.5000  4 Hf 2.78, 4 Sn 2.80, 2 Tc 3.10
Tc  0.0000  0.0000  0.0000  4 Hf 2.78, 4 Sn 2.80, 2 Tc 3.10
Sn  0.6398  0.2796  0.7500  4 Tc 2.80, 4 Hf 3.09-3.10
Sn  0.3602  0.7204  0.2500  4 Tc 2.80, 4 Hf 3.09-3.10

=====

(2)
VASP calculation (PBE) on a geometry-optimized Hf3Tc4Sn structure.

Computed properties:
Total moment = 0.00 μB per formula unit
Space-group type = Pmmm, No. 47
E_form = -357 meV/atom

a b c (Å): 3.3128 4.5387 9.2289
angles (deg): 90.00 90.00 90.00
Closest atoms and distances in Å follow each position.
Element x y z (fractional)
Hf  0.5000  0.0000  0.2469  8 Tc 2.81-2.86
Hf  0.5000  0.5000  0.5000  8 Tc 2.81-2.84
Hf  0.5000  0.0000  0.7531  8 Tc 2.81-2.86
Tc  0.0000  0.0000  0.5000  8 Hf 2.81-2.86
Tc  0.0000  0.5000  0.7506  6 Hf 2.81-2.84, 2 Sn 2.84
Tc  0.0000  0.0000  0.0000  4 Sn 2.81, 4 Hf 2.82
Tc  0.0000  0.5000  0.2494  6 Hf 2.81-2.84, 2 Sn 2.84
Sn  0.5000  0.5000  0.0000  8 Tc 2.81-2.84

=====

(3)
VASP calculation (PBE) on a geometry-optimized HfTcSn structure.

Computed properties:
Total moment = 0.00 μB per formula unit
Space-group type = I4mm, No. 107
E_form = -216 meV/atom
Distance to the lowest polymorph of the same formula = 0.050 eV per atom

a b c (Å): 3.4125 3.4125 5.4168
angles (deg): 108.36 108.36 90.00
Closest atoms and distances in Å follow each position.
Element x y z (fractional)
Hf  0.9635  0.9635  0.9269  4 Tc 2.82, 5 Sn 3.01-3.04
Sn  0.2734  0.2734  0.5468  4 Tc 2.87, 5 Hf 3.01-3.04
Tc  0.6131  0.6131  0.2262  4 Hf 2.82, 4 Sn 2.87

=====

(4)
VASP calculation (PBE) on a geometry-optimized Hf5Tc6Sn structure.

Computed properties:
Total moment = 0.00 μB per formula unit
Space-group type = Immm, No. 71
E_form = -401 meV/atom

a b c (Å): 4.5996 6.5639 7.9783
angles (deg): 114.29 106.73 90.00
Closest atoms and distances in Å follow each position.
Element x y z (fractional)
Hf  0.6615  0.1616  0.3233  8 Tc 2.80-2.87
Hf  0.3308  0.3311  0.6621  8 Tc 2.80-2.82
Hf  0.0000  0.5000  0.0000  8 Tc 2.80-2.82
Hf  0.6692  0.6689  0.3379  8 Tc 2.80-2.82
Hf  0.3385  0.8384  0.6767  8 Tc 2.80-2.87
Tc  0.8328  0.5807  0.6655  7 Hf 2.80-2.87, 1 Sn 2.84
Tc  0.8328  0.0848  0.6655  7 Hf 2.80-2.87, 1 Sn 2.84
Tc  0.5000  0.7422  0.0000  6 Hf 2.80-2.82, 2 Sn 2.86
Tc  0.5000  0.2578  0.0000  6 Hf 2.80-2.82, 2 Sn 2.86
Tc  0.1672  0.9152  0.3345  7 Hf 2.80-2.87, 1 Sn 2.84
Tc  0.1672  0.4193  0.3345  7 Hf 2.80-2.87, 1 Sn 2.84
Sn  0.0000  0.0000  0.0000  8 Tc 2.84-2.86

=====

(5)
VASP calculation (PBE) on a geometry-optimized Hf5Tc4Sn structure.

Computed properties:
Total moment = 0.00 μB per formula unit
Space-group type = P4/mmm, No. 123
E_form = -466 meV/atom

a b c (Å): 3.3325 3.3325 16.4961
angles (deg): 90.00 90.00 90.00
Closest atoms and distances in Å follow each position.
Element x y z (fractional)
Hf  0.5000  0.5000  0.1171  4 Tc 2.75, 4 Sn 3.05
Hf  0.5000  0.5000  0.3070  8 Tc 2.82-2.92, 1 Hf 3.13
Hf  0.5000  0.5000  0.5000  8 Tc 2.86, 2 Hf 3.18
Hf  0.5000  0.5000  0.6930  8 Tc 2.82-2.92, 1 Hf 3.13
Hf  0.5000  0.5000  0.8829  4 Tc 2.75, 4 Sn 3.05
Tc  0.0000  0.0000  0.2025  8 Hf 2.75-2.92
Tc  0.0000  0.0000  0.4013  8 Hf 2.82-2.86
Tc  0.0000  0.0000  0.5987  8 Hf 2.82-2.86
Tc  0.0000  0.0000  0.7975  8 Hf 2.75-2.92
Sn  0.0000  0.0000  0.0000  8 Hf 3.05, 4 Sn 3.33, 2 Tc 3.34

=====

(6)
VASP calculation (PBE) on a geometry-optimized HfTcSn3 structure.

Computed properties:
Total moment = 0.00 μB per formula unit
Space-group type = Pm-3m, No. 221
E_form = 678 meV/atom
Distance to the lowest polymorph of the same formula = 0.000 eV per atom

a b c (Å): 5.1132 5.1132 5.1132
angles (deg): 90.00 90.00 90.00
Closest atoms and distances in Å follow each position.
Element x y z (fractional)
Hf  0.5000  0.5000  0.5000  12 Sn 3.62
Sn  0.0000  0.5000  0.0000  2 Tc 2.56
Sn  0.0000  0.0000  0.5000  2 Tc 2.56
Sn  0.5000  0.0000  0.0000  2 Tc 2.56
Tc  0.0000  0.0000  0.0000  6 Sn 2.56

=====

(7)
VASP calculation (PBE) on a geometry-optimized HfTcSn structure.

Computed properties:
Total moment = 0.00 μB per formula unit
Space-group type = P3m1, No. 156
E_form = -88 meV/atom
Distance to the lowest polymorph of the same formula = 0.178 eV per atom

a b c (Å): 3.0729 4.6577 4.6577
angles (deg): 120.00 90.00 90.00
Closest atoms and distances in Å follow each position.
Element x y z (fractional)
Hf  0.9498  0.0000  0.0000  3 Tc 2.92, 6 Sn 3.06-3.13, 2 Hf 3.07
Sn  0.4730  0.6667  0.3333  3 Tc 2.71
Tc  0.5772  0.3333  0.6667  3 Sn 2.71, 3 Hf 2.92

=====

(8)
VASP calculation (PBE) on a geometry-optimized Hf4TcSn structure.

Computed properties:
Total moment = 0.00 μB per formula unit
Space-group type = Cmcm, No. 63
E_form = 53 meV/atom

a b c (Å): 5.1424 5.8629 9.5058
angles (deg): 90.00 105.69 90.00
Closest atoms and distances in Å follow each position.
Element x y z (fractional)
Hf  0.8871  0.3220  0.7742  2 Tc 2.63
Hf  0.1129  0.8220  0.2258  2 Tc 2.63
Hf  0.4460  0.8225  0.8919  1 Tc 2.51
Hf  0.5540  0.3225  0.1081  1 Tc 2.51
Hf  0.7016  0.5708  0.4033  1 Tc 2.62, 1 Hf 2.92
Hf  0.2984  0.0708  0.5967  1 Tc 2.62, 1 Hf 2.92
Hf  0.7017  0.0736  0.4033  1 Tc 2.62, 1 Hf 2.92
Hf  0.2983  0.5736  0.5967  1 Tc 2.62, 1 Hf 2.92
Tc  0.5834  0.8224  0.1667  5 Hf 2.51-2.63
Tc  0.4166  0.3224  0.8333  5 Hf 2.51-2.63
Sn  0.8491  0.8220  0.6981  10 Hf 3.01-3.12
Sn  0.1509  0.3220  0.3019  10 Hf 3.01-3.12

=====

(9)
VASP calculation (PBE) on a geometry-optimized Hf3Tc2Sn structure.

Computed properties:
Total moment = 0.00 μB per formula unit
Space-group type = P4/mmm, No. 123
E_form = -456 meV/atom

a b c (Å): 3.3875 3.3875 9.8502
angles (deg): 90.00 90.00 90.00
Closest atoms and distances in Å follow each position.
Element x y z (fractional)
Hf  0.0000  0.0000  0.0000  8 Tc 2.91, 2 Hf 3.08
Hf  0.0000  0.0000  0.6876  4 Tc 2.79, 4 Sn 3.03, 1 Hf 3.08
Hf  0.0000  0.0000  0.3124  4 Tc 2.79, 4 Sn 3.03, 1 Hf 3.08
Tc  0.5000  0.5000  0.8330  8 Hf 2.79-2.91
Tc  0.5000  0.5000  0.1670  8 Hf 2.79-2.91
Sn  0.5000  0.5000  0.5000  8 Hf 3.03, 2 Tc 3.28, 4 Sn 3.39

=====

(10)
VASP calculation (PBE) on a geometry-optimized Hf8TcSn2 structure.

Computed properties:
Total moment = 0.00 μB per formula unit
Space-group type = C2/m, No. 12
E_form = -123 meV/atom

a b c (Å): 4.6734 5.9462 9.4093
angles (deg): 105.59 104.38 90.00
Closest atoms and distances in Å follow each position.
Element x y z (fractional)
Hf  0.4140  0.5063  0.8281  1 Tc 2.92, 2 Sn 3.14, 7 Hf 3.14-3.26
Hf  0.6453  0.0421  0.2905  1 Tc 2.59
Hf  0.7730  0.6579  0.5460  4 Sn 2.94-3.20, 5 Hf 2.97-3.28
Hf  0.9794  0.2313  0.9588  2 Tc 2.79, 1 Sn 2.94, 2 Hf 3.05-3.07
Hf  0.2270  0.3421  0.4540  4 Sn 2.94-3.20, 5 Hf 2.97-3.28
Hf  0.3547  0.9579  0.7095  1 Tc 2.59
Hf  0.5860  0.4937  0.1719  1 Tc 2.92, 2 Sn 3.14, 7 Hf 3.14-3.26
Hf  0.0206  0.7687  0.0412  2 Tc 2.79, 1 Sn 2.94, 2 Hf 3.05-3.07
Tc  0.5000  0.0000  0.0000  6 Hf 2.59-2.79
Sn  0.8171  0.2179  0.6343  10 Hf 2.94-3.20
Sn  0.1829  0.7821  0.3657  10 Hf 2.94-3.20

=====

(11)
VASP calculation (PBE) on a geometry-optimized Hf2TcSn structure.

Computed properties:
Total moment = 0.00 μB per formula unit
Space-group type = P4/mmm, No. 123
E_form = -269 meV/atom

a b c (Å): 3.6652 4.6033 4.6033
angles (deg): 90.00 90.00 90.00
Closest atoms and distances in Å follow each position.
Element x y z (fractional)
Hf  0.0000  0.0000  0.5000  4 Sn 2.94, 4 Tc 2.94, 4 Hf 3.26
Hf  0.0000  0.5000  0.0000  4 Sn 2.94, 4 Tc 2.94, 4 Hf 3.26
Sn  0.5000  0.0000  0.0000  8 Hf 2.94, 4 Tc 3.26
Tc  0.5000  0.5000  0.5000  8 Hf 2.94, 4 Sn 3.26

=====

(12)
VASP calculation (PBE) on a geometry-optimized Hf2TcSn structure.

Computed properties:
Total moment = 0.00 μB per formula unit
Space-group type = P4/mmm, No. 123
E_form = -329 meV/atom

a b c (Å): 3.4780 3.4780 6.4637
angles (deg): 90.00 90.00 90.00
Closest atoms and distances in Å follow each position.
Element x y z (fractional)
Hf  0.0000  0.0000  0.7693  4 Tc 2.88, 1 Hf 2.98, 4 Sn 3.01
Hf  0.0000  0.0000  0.2307  4 Tc 2.88, 1 Hf 2.98, 4 Sn 3.01
Sn  0.5000  0.5000  0.5000  8 Hf 3.01, 2 Tc 3.23
Tc  0.5000  0.5000  0.0000  8 Hf 2.88